1.
The following is a DFT calculation (PBE) of crystalline Nb2VSn2 at its relaxed geometry.

Cell and atoms, written as CIF:
```
data_Nb2VSn2
_space_group_name_H-M_alt 'P 1'
_space_group_IT_number 1
_cell_length_a 7.154
_cell_length_b 7.154
_cell_length_c 3.824
_cell_angle_alpha 90.00
_cell_angle_beta 90.00
_cell_angle_gamma 90.00
loop_
_space_group_symop_operation_xyz
'x,y,z'
loop_
_atom_site_label
_atom_site_type_symbol
_atom_site_fract_x
_atom_site_fract_y
_atom_site_fract_z
_atom_site_occupancy
V1 V 0.500 0.500 0.000 1
Nb1 Nb 0.339 0.161 0.500 1
Nb2 Nb 0.161 0.661 0.500 1
Nb3 Nb 0.661 0.839 0.500 1
Nb4 Nb 0.839 0.339 0.500 1
Sn1 Sn 0.357 0.857 0.000 1
Sn2 Sn 0.143 0.357 0.000 1
Sn3 Sn 0.643 0.143 0.000 1
V2 V 0.000 0.000 0.000 1
Sn4 Sn 0.857 0.643 0.000 1
```

Results
SG   No. 127
E_form   0.147 eV per atom
E_tot   -7.305 eV/atom
N(E_F)   6.896 states/eV per cell

=====

2.
The following is a DFT calculation (PBE) of crystalline Nb6VSn at its relaxed geometry.

Cell and atoms, written as CIF:
```
data_Nb6VSn
_space_group_name_H-M_alt 'P 1'
_space_group_IT_number 1
_cell_length_a 4.559
_cell_length_b 5.764
_cell_length_c 5.764
_cell_angle_alpha 107.24
_cell_angle_beta 90.00
_cell_angle_gamma 90.00
loop_
_space_group_symop_operation_xyz
'x,y,z'
loop_
_atom_site_label
_atom_site_type_symbol
_atom_site_fract_x
_atom_site_fract_y
_atom_site_fract_z
_atom_site_occupancy
Nb1 Nb 0.500 0.625 0.875 1
Nb2 Nb 0.000 0.342 0.092 1
Nb3 Nb 0.000 0.385 0.615 1
V1 V 0.500 0.125 0.875 1
Nb4 Nb 0.500 0.125 0.375 1
Sn1 Sn 0.500 0.625 0.375 1
Nb5 Nb 0.000 0.865 0.135 1
Nb6 Nb 0.000 0.908 0.658 1
```

Results
SG   No. 65
E_form   -0.058 eV per atom
E_tot   -9.251 eV/atom
Energy above the most stable polymorph in this dataset   39 meV per atom
N(E_F)   8.437 states/eV per cell

=====

3.
The following is a DFT calculation (PBE) of crystalline NbVZnSn2 at its relaxed geometry.

Cell and atoms, written as CIF:
```
data_NbVZnSn2
_space_group_name_H-M_alt 'P 1'
_space_group_IT_number 1
_cell_length_a 5.003
_cell_length_b 5.003
_cell_length_c 4.739
_cell_angle_alpha 90.00
_cell_angle_beta 90.00
_cell_angle_gamma 90.00
loop_
_space_group_symop_operation_xyz
'x,y,z'
loop_
_atom_site_label
_atom_site_type_symbol
_atom_site_fract_x
_atom_site_fract_y
_atom_site_fract_z
_atom_site_occupancy
Sn1 Sn 0.500 0.000 0.000 1
Nb1 Nb 0.500 0.500 0.500 1
Zn1 Zn 0.000 0.000 0.500 1
Sn2 Sn 0.000 0.500 0.000 1
V1 V 0.000 0.000 0.000 1
```

Results
SG   No. 123
E_form   0.929 eV per atom
E_tot   -4.765 eV/atom
N(E_F)   4.753 states/eV per cell

=====

4.
The following is a DFT calculation (PBE) of crystalline ZrNbV2Sn at its relaxed geometry.

Cell and atoms, written as CIF:
```
data_ZrNbV2Sn
_space_group_name_H-M_alt 'P 1'
_space_group_IT_number 1
_cell_length_a 4.817
_cell_length_b 5.248
_cell_length_c 4.817
_cell_angle_alpha 90.00
_cell_angle_beta 90.00
_cell_angle_gamma 90.00
loop_
_space_group_symop_operation_xyz
'x,y,z'
loop_
_atom_site_label
_atom_site_type_symbol
_atom_site_fract_x
_atom_site_fract_y
_atom_site_fract_z
_atom_site_occupancy
V1 V 0.000 0.000 0.500 1
Nb1 Nb 0.500 0.500 0.500 1
V2 V 0.500 0.000 0.000 1
Zr1 Zr 0.000 0.500 0.000 1
Sn1 Sn 0.000 0.000 0.000 1
```

Results
SG   No. 123
E_form   1.557 eV per atom
E_tot   -6.614 eV/atom
N(E_F)   7.718 states/eV per cell

=====

5.
The following is a DFT calculation (PBE) of crystalline Nb4SnW2 at its relaxed geometry.

Cell and atoms, written as CIF:
```
data_Nb4SnW2
_space_group_name_H-M_alt 'P 1'
_space_group_IT_number 1
_cell_length_a 4.954
_cell_length_b 4.954
_cell_length_c 7.452
_cell_angle_alpha 70.59
_cell_angle_beta 70.59
_cell_angle_gamma 90.00
loop_
_space_group_symop_operation_xyz
'x,y,z'
loop_
_atom_site_label
_atom_site_type_symbol
_atom_site_fract_x
_atom_site_fract_y
_atom_site_fract_z
_atom_site_occupancy
Nb1 Nb 0.205 0.205 0.590 1
W1 W 0.389 0.389 0.222 1
Sn1 Sn 0.000 0.000 0.000 1
W2 W 0.611 0.611 0.778 1
Nb2 Nb 0.000 0.500 0.000 1
Nb3 Nb 0.500 0.000 0.000 1
Nb4 Nb 0.795 0.795 0.410 1
```

Results
SG   No. 139
E_form   1.585 eV per atom
E_tot   -8.442 eV/atom
N(E_F)   8.842 states/eV per cell

=====

6.
The following is a DFT calculation (PBE) of crystalline NbSnW at its relaxed geometry.

Cell and atoms, written as CIF:
```
data_NbSnW
_space_group_name_H-M_alt 'P 1'
_space_group_IT_number 1
_cell_length_a 3.139
_cell_length_b 3.140
_cell_length_c 13.348
_cell_angle_alpha 90.00
_cell_angle_beta 90.00
_cell_angle_gamma 119.98
loop_
_space_group_symop_operation_xyz
'x,y,z'
loop_
_atom_site_label
_atom_site_type_symbol
_atom_site_fract_x
_atom_site_fract_y
_atom_site_fract_z
_atom_site_occupancy
Sn1 Sn 0.278 0.556 0.174 1
Sn2 Sn 0.278 0.556 0.826 1
Nb1 Nb 0.611 0.222 0.000 1
W1 W 0.611 0.222 0.344 1
Nb2 Nb 0.278 0.556 0.500 1
W2 W 0.611 0.222 0.656 1
```

Results
SG   No. 187
E_form   0.355 eV per atom
E_tot   -8.653 eV/atom
N(E_F)   3.469 states/eV per cell

=====

7.
The following is a DFT calculation (PBE) of crystalline Nb12Sn3W at its relaxed geometry.

Cell and atoms, written as CIF:
```
data_Nb12Sn3W
_space_group_name_H-M_alt 'P 1'
_space_group_IT_number 1
_cell_length_a 5.304
_cell_length_b 5.313
_cell_length_c 10.588
_cell_angle_alpha 90.00
_cell_angle_beta 90.00
_cell_angle_gamma 90.00
loop_
_space_group_symop_operation_xyz
'x,y,z'
loop_
_atom_site_label
_atom_site_type_symbol
_atom_site_fract_x
_atom_site_fract_y
_atom_site_fract_z
_atom_site_occupancy
Nb1 Nb 0.500 0.000 0.619 1
Nb2 Nb 0.749 0.500 0.000 1
Sn1 Sn 0.500 0.500 0.750 1
Sn2 Sn 0.500 0.500 0.250 1
Nb3 Nb 0.000 0.244 0.743 1
Nb4 Nb 0.000 0.756 0.257 1
Nb5 Nb 0.242 0.500 0.500 1
Nb6 Nb 0.500 0.000 0.128 1
Nb7 Nb 0.000 0.756 0.743 1
Sn3 Sn 0.000 0.000 0.000 1
Nb8 Nb 0.000 0.244 0.257 1
Nb9 Nb 0.758 0.500 0.500 1
W1 W 0.000 0.000 0.500 1
Nb10 Nb 0.251 0.500 0.000 1
Nb11 Nb 0.500 0.000 0.872 1
Nb12 Nb 0.500 0.000 0.381 1
```

Results
SG   No. 47
E_form   -0.168 eV per atom
E_tot   -9.280 eV/atom
N(E_F)   16.756 states/eV per cell

=====

8.
The following is a DFT calculation (PBE) of crystalline NbSnW3 at its relaxed geometry.

Cell and atoms, written as CIF:
```
data_NbSnW3
_space_group_name_H-M_alt 'P 1'
_space_group_IT_number 1
_cell_length_a 4.821
_cell_length_b 4.821
_cell_length_c 4.821
_cell_angle_alpha 90.00
_cell_angle_beta 90.00
_cell_angle_gamma 90.00
loop_
_space_group_symop_operation_xyz
'x,y,z'
loop_
_atom_site_label
_atom_site_type_symbol
_atom_site_fract_x
_atom_site_fract_y
_atom_site_fract_z
_atom_site_occupancy
W1 W 0.000 0.000 0.500 1
Sn1 Sn 0.500 0.500 0.500 1
W2 W 0.500 0.000 0.000 1
W3 W 0.000 0.500 0.000 1
Nb1 Nb 0.000 0.000 0.000 1
```

Results
SG   No. 221
E_form   2.159 eV per atom
E_tot   -8.427 eV/atom
Energy above the most stable polymorph in this dataset   0 meV per atom
N(E_F)   7.946 states/eV per cell

=====

9.
The following is a DFT calculation (PBE) of crystalline Nb14SnW at its relaxed geometry.

Cell and atoms, written as CIF:
```
data_Nb14SnW
_space_group_name_H-M_alt 'P 1'
_space_group_IT_number 1
_cell_length_a 6.637
_cell_length_b 6.637
_cell_length_c 6.654
_cell_angle_alpha 90.00
_cell_angle_beta 90.00
_cell_angle_gamma 90.00
loop_
_space_group_symop_operation_xyz
'x,y,z'
loop_
_atom_site_label
_atom_site_type_symbol
_atom_site_fract_x
_atom_site_fract_y
_atom_site_fract_z
_atom_site_occupancy
Nb1 Nb 0.618 0.132 0.751 1
Nb2 Nb 0.618 0.132 0.249 1
Nb3 Nb 0.132 0.132 0.249 1
Sn1 Sn 0.875 0.875 0.500 1
Nb4 Nb 0.875 0.875 0.000 1
Nb5 Nb 0.875 0.375 0.500 1
Nb6 Nb 0.132 0.618 0.751 1
Nb7 Nb 0.618 0.618 0.751 1
Nb8 Nb 0.132 0.618 0.249 1
Nb9 Nb 0.375 0.375 0.000 1
Nb10 Nb 0.132 0.132 0.751 1
W1 W 0.375 0.375 0.500 1
Nb11 Nb 0.375 0.875 0.500 1
Nb12 Nb 0.375 0.875 0.000 1
Nb13 Nb 0.875 0.375 0.000 1
Nb14 Nb 0.618 0.618 0.249 1
```

Results
SG   No. 123
E_form   -0.044 eV per atom
E_tot   -9.915 eV/atom
N(E_F)   19.613 states/eV per cell

=====

10.
The following is a DFT calculation (PBE) of crystalline NbSnW3 at its relaxed geometry.

Cell and atoms, written as CIF:
```
data_NbSnW3
_space_group_name_H-M_alt 'P 1'
_space_group_IT_number 1
_cell_length_a 4.822
_cell_length_b 4.822
_cell_length_c 4.822
_cell_angle_alpha 90.00
_cell_angle_beta 90.00
_cell_angle_gamma 90.00
loop_
_space_group_symop_operation_xyz
'x,y,z'
loop_
_atom_site_label
_atom_site_type_symbol
_atom_site_fract_x
_atom_site_fract_y
_atom_site_fract_z
_atom_site_occupancy
Nb1 Nb 0.500 0.500 0.500 1
W1 W 0.000 0.500 0.000 1
Sn1 Sn 0.000 0.000 0.000 1
W2 W 0.000 0.000 0.500 1
W3 W 0.500 0.000 0.000 1
```

Results
SG   No. 221
E_form   2.600 eV per atom
E_tot   -7.986 eV/atom
Energy above the most stable polymorph in this dataset   441 meV per atom
N(E_F)   5.427 states/eV per cell

=====

11.
The following is a DFT calculation (PBE) of crystalline NbSnW2 at its relaxed geometry.

Cell and atoms, written as CIF:
```
data_NbSnW2
_space_group_name_H-M_alt 'P 1'
_space_group_IT_number 1
_cell_length_a 3.946
_cell_length_b 3.946
_cell_length_c 10.346
_cell_angle_alpha 79.01
_cell_angle_beta 79.01
_cell_angle_gamma 90.00
loop_
_space_group_symop_operation_xyz
'x,y,z'
loop_
_atom_site_label
_atom_site_type_symbol
_atom_site_fract_x
_atom_site_fract_y
_atom_site_fract_z
_atom_site_occupancy
W1 W 0.875 0.901 0.750 1
W2 W 0.375 0.349 0.750 1
Nb1 Nb 0.250 0.750 0.500 1
Nb2 Nb 0.500 0.500 0.000 1
W3 W 0.099 0.625 0.250 1
W4 W 0.651 0.125 0.250 1
Sn1 Sn 0.000 0.000 0.000 1
Sn2 Sn 0.750 0.250 0.500 1
```

Results
SG   No. 122
E_form   0.871 eV per atom
E_tot   -9.124 eV/atom
N(E_F)   13.460 states/eV per cell

=====

12.
The following is a DFT calculation (PBE) of crystalline YNbSn2W at its relaxed geometry.

Cell and atoms, written as CIF:
```
data_YNbSn2W
_space_group_name_H-M_alt 'P 1'
_space_group_IT_number 1
_cell_length_a 5.333
_cell_length_b 5.204
_cell_length_c 5.333
_cell_angle_alpha 90.00
_cell_angle_beta 90.00
_cell_angle_gamma 90.00
loop_
_space_group_symop_operation_xyz
'x,y,z'
loop_
_atom_site_label
_atom_site_type_symbol
_atom_site_fract_x
_atom_site_fract_y
_atom_site_fract_z
_atom_site_occupancy
Sn1 Sn 0.000 0.000 0.500 1
Sn2 Sn 0.500 0.000 0.000 1
Nb1 Nb 0.000 0.000 0.000 1
Y1 Y 0.000 0.500 0.000 1
W1 W 0.500 0.500 0.500 1
```

Results
SG   No. 123
E_form   1.397 eV per atom
E_tot   -6.102 eV/atom
N(E_F)   4.564 states/eV per cell